Computed, not measured: an optimized crystal structure of ThIn2HgTe4 at the PBE level of DFT.

## Properties
Calculated density ... 6.90 g cm⁻³
Final energy ... -3.731 eV/atom
Crystal system ... monoclinic
ΔE_f (raw) ... -510 meV/atom
Fermi-level density of states ... 1.2 states/eV/cell

a b c (Å): 7.6468 4.3914 8.9025
angles (deg): 90.00 109.29 90.00
Closest atoms and distances in Å follow each position.
Positions (direct):
Th  0.0000  0.0000  0.0000  6 Te 3.12-3.18
In  0.5000  0.0000  0.5000  6 Te 3.41-3.60
In  0.5000  0.5000  0.0000  6 Te 3.04-3.22
Hg  0.0000  0.5000  0.5000  6 Te 3.50-3.55
Te  0.2423  0.5000  0.2223  2 Th 3.12, 3 In 3.22-3.41
Te  0.2681  0.0000  0.7920  2 In 3.04, 1 Th 3.18
Te  0.7319  0.0000  0.2080  2 In 3.04, 1 Th 3.18
Te  0.7577  0.5000  0.7777  2 Th 3.12, 3 In 3.22-3.41



Computed, not measured: an optimized crystal structure of Sc4ZnSi at the PBE level of DFT.

## Properties
Calculated density ... 3.53 g cm⁻³
Final energy ... -4.992 eV/atom
Crystal system ... cubic
ΔE_f (raw) ... 345 meV/atom
Fermi-level density of states ... 6.6 states/eV/cell

a b c (Å): 5.6653 5.6653 5.6653
angles (deg): 60.00 60.00 60.00
Closest atoms and distances in Å follow each position.
Positions (direct):
Sc  0.1254  0.1254  0.1254  6 Sc 2.82-2.84
Sc  0.1254  0.1254  0.6237  6 Sc 2.82-2.84
Sc  0.1254  0.6237  0.1254  6 Sc 2.82-2.84
Sc  0.6237  0.1254  0.1254  6 Sc 2.82-2.84
Zn  0.7500  0.7500  0.7500  12 Sc 3.32, 4 Si 3.47
Si  0.5000  0.5000  0.5000  12 Sc 3.32, 4 Zn 3.47